Computed, not measured: a relaxed structure of LiMn4 at the GGA-PBE level of DFT. Values from VASP.

Properties
- Energy relative to the elements: 1172 meV/atom
- DFT total energy: -0.481 Ry/atom
- DOS at the Fermi energy: 0.925 states/eV per atom

The structure in Quantum ESPRESSO input format:
```
&SYSTEM
  ibrav = 0, nat = 5, ntyp = 2
/
ATOMIC_SPECIES
Mn 54.94 Mn.upf
Li 6.94 Li.upf
ATOMIC_POSITIONS crystal
Mn 0.500 0.000 0.500
Mn 0.000 0.500 0.500
Mn 0.000 0.000 0.000
Mn 0.500 0.500 0.000
Li 0.500 0.500 0.500
CELL_PARAMETERS angstrom
4.243 0.000 0.000
0.000 4.243 0.000
0.000 0.000 4.243
```



Computed, not measured: a relaxed structure of NdHoRuRh at the GGA-PBE level of DFT. Values from VASP.

Properties
- Energy relative to the elements: -488 meV/atom
- DFT total energy: -0.513 Ry/atom
- DOS at the Fermi energy: 0.706 states/eV per atom

The structure in Quantum ESPRESSO input format:
```
&SYSTEM
  ibrav = 0, nat = 4, ntyp = 4
/
ATOMIC_SPECIES
Ho 164.93 Ho.upf
Nd 144.24 Nd.upf
Rh 102.91 Rh.upf
Ru 101.07 Ru.upf
ATOMIC_POSITIONS crystal
Ho 0.500 0.500 0.500
Nd 0.000 0.000 0.000
Rh 0.250 0.250 0.250
Ru 0.750 0.750 0.750
CELL_PARAMETERS angstrom
-1.156 2.395 4.115
1.941 -1.398 4.275
3.339 2.820 2.213
```



Among the records above, which one has the lowest energy relative to the elements?
NdHoRuRh